A relaxed CeMnFeGe2 crystal. Source: the Alexandria database, functional GGA-PBE.

a = 5.952 Å, b = 5.952 Å, c = 5.952 Å
α = 140.34°, β = 140.34°, γ = 57.34°
Atoms (fractional coordinates):
1 Ce 0.000 0.000 0.000
2 Mn 0.250 0.750 0.500
3 Fe 0.750 0.250 0.500
4 Ge 0.375 0.375 0.000
5 Ge 0.625 0.625 0.000

Properties
The calculation puts the energy of formation at -0.4456 eV per atom.


A relaxed CeFeGe2Mo crystal. Source: the Alexandria database, functional GGA-PBE.

a = 6.309 Å, b = 6.309 Å, c = 6.309 Å
α = 142.69°, β = 142.69°, γ = 53.79°
Atoms (fractional coordinates):
1 Ce 0.000 0.000 0.000
2 Fe 0.750 0.250 0.500
3 Ge 0.384 0.384 0.000
4 Ge 0.616 0.616 0.000
5 Mo 0.250 0.750 0.500

Properties
The calculation puts the energy of formation at -0.3427 eV per atom.


A relaxed CeFe2GeN crystal. Source: the Alexandria database, functional GGA-PBE.

a = 5.729 Å, b = 5.729 Å, c = 6.817 Å
α = 90.00°, β = 90.00°, γ = 141.28°
Atoms (fractional coordinates):
1 Ce 0.055 0.945 0.750
2 Ce 0.945 0.055 0.250
3 Fe 0.341 0.659 0.555
4 Fe 0.341 0.659 0.945
5 Fe 0.659 0.341 0.055
6 Fe 0.659 0.341 0.445
7 Ge 0.225 0.775 0.250
8 Ge 0.775 0.225 0.750
9 N 0.500 0.500 0.000
10 N 0.500 0.500 0.500

Properties
For the total energy, the calculation gives -7.826 eV/atom.


A relaxed Ce2Fe2Ge2N crystal. Source: the Alexandria database, functional GGA-PBE.

a = 5.821 Å, b = 5.821 Å, c = 7.005 Å
α = 126.26°, β = 126.26°, γ = 39.47°
Atoms (fractional coordinates):
1 Ce 0.052 0.052 0.281
2 Ce 0.948 0.948 0.719
3 Fe 0.313 0.313 0.931
4 Fe 0.687 0.687 0.069
5 Ge 0.331 0.331 0.291
6 Ge 0.669 0.669 0.709
7 N 0.500 0.500 0.000

Properties
For the total energy, the calculation gives -7.365 eV/atom.


A relaxed Ce3FeNi2Ge6 crystal. Source: the Alexandria database, functional GGA-PBE.

a = 6.043 Å, b = 6.043 Å, c = 7.383 Å
α = 90.00°, β = 90.00°, γ = 120.00°
Atoms (fractional coordinates):
1 Ce 0.000 0.000 0.000
2 Ce 0.333 0.667 0.681
3 Ce 0.667 0.333 0.319
4 Fe 0.000 0.000 0.500
5 Ni 0.333 0.667 0.049
6 Ni 0.667 0.333 0.951
7 Ge 0.187 0.374 0.309
8 Ge 0.187 0.813 0.309
9 Ge 0.374 0.187 0.691
10 Ge 0.626 0.813 0.309
11 Ge 0.813 0.187 0.691
12 Ge 0.813 0.626 0.691

Properties
The calculation puts the energy of formation at -0.2895 eV per atom.


A relaxed CeFeNi8Ge4 crystal. Source: the Alexandria database, functional GGA-PBE.

a = 8.166 Å, b = 8.150 Å, c = 7.960 Å
α = 60.90°, β = 60.70°, γ = 58.40°
Atoms (fractional coordinates):
1 Ce 0.000 0.000 0.500
2 Ce 0.500 0.500 0.000
3 Fe 0.189 0.946 0.811
4 Fe 0.946 0.189 0.054
5 Ni 0.044 0.449 0.322
6 Ni 0.051 0.803 0.197
7 Ni 0.178 0.313 0.051
8 Ni 0.247 0.247 0.753
9 Ni 0.301 0.554 0.699
10 Ni 0.313 0.178 0.459
11 Ni 0.441 0.687 0.313
12 Ni 0.449 0.044 0.185
13 Ni 0.541 0.949 0.687
14 Ni 0.554 0.301 0.446
15 Ni 0.678 0.815 0.956
16 Ni 0.687 0.441 0.559
17 Ni 0.746 0.746 0.254
18 Ni 0.803 0.051 0.949
19 Ni 0.815 0.678 0.551
20 Ni 0.949 0.541 0.822
21 Ge 0.041 0.695 0.959
22 Ge 0.196 0.543 0.457
23 Ge 0.300 0.947 0.053
24 Ge 0.451 0.798 0.549
25 Ge 0.543 0.196 0.804
26 Ge 0.695 0.041 0.305
27 Ge 0.798 0.451 0.202
28 Ge 0.947 0.300 0.700

Properties
The calculation puts the energy of formation at -0.3655 eV per atom.


A relaxed CeFeGe2Os crystal. Source: the Alexandria database, functional GGA-PBE.

a = 5.864 Å, b = 5.864 Å, c = 5.864 Å
α = 138.49°, β = 138.49°, γ = 60.15°
Atoms (fractional coordinates):
1 Ce 0.000 0.000 0.000
2 Fe 0.750 0.250 0.500
3 Ge 0.372 0.372 0.000
4 Ge 0.628 0.628 0.000
5 Os 0.250 0.750 0.500

Properties
The calculation puts the energy of formation at -0.4052 eV per atom.


A relaxed CeFe2Ge2P crystal. Source: the Alexandria database, functional GGA-PBE.

a = 4.274 Å, b = 4.274 Å, c = 5.530 Å
α = 90.00°, β = 90.00°, γ = 90.00°
Atoms (fractional coordinates):
1 Ce 0.000 0.000 0.000
2 Fe 0.000 0.500 0.500
3 Fe 0.500 0.000 0.500
4 Ge 0.500 0.500 0.230
5 Ge 0.500 0.500 0.770
6 P 0.000 0.000 0.500

Properties
The calculation puts the energy of formation at -0.4270 eV per atom.